Er3CdHg4 | PBE | relaxed

Values from the calculation:
The value obtained for the formation energy is -298 meV per atom. The calculation puts the polymorph energy (0 for the lowest one) at 125.9 meV/atom. Its density of states at the Fermi level is 0.508 states/eV per atom.

Cell: 3.5157 6.9002 17.3014 Å, 90.00 90.00 90.00°
With the nearest neighbours (Å) after each atom.
Space group Immm (No. 71)
Unique sites:
1 Er 0.0000 0.0000 0.0000 (multiplicity 2)  8 Hg 3.19, 2 Er 3.52
2 Er 0.0000 0.5000 0.2221 (multiplicity 4)  6 Hg 3.05-3.09
3 Cd 0.0000 0.0000 0.5000 (multiplicity 2)  4 Hg 2.90
4 Hg 0.0000 0.2778 0.3742 (multiplicity 8)  1 Cd 2.90, 5 Er 3.05-3.19, 1 Hg 3.07

---

TlCrBiCl6 | PBE | relaxed

Values from the calculation:
The calculation puts the uncorrected formation energy at -0.99 eV/atom.

Cell: 7.1088 11.7291 7.0341 Å, 90.00 93.21 90.00°
With the nearest neighbours (Å) after each atom.
Space group C2 (No. 5)
Unique sites:
1 Tl 0.0000 0.0000 0.0000 (multiplicity 2)  6 Cl 3.16-3.41
2 Cr 0.0000 0.6652 0.5000 (multiplicity 2)  4 Cl 2.39-2.41
3 Bi 0.0000 0.3262 0.5000 (multiplicity 2)  6 Cl 2.65-2.83
4 Cl 0.1263 0.5202 0.7094 (multiplicity 4)  1 Cr 2.39
5 Cl 0.1691 0.8078 0.6886 (multiplicity 4)  1 Cr 2.41
6 Cl 0.1823 0.1840 0.7379 (multiplicity 4)  1 Bi 2.65, 1 Cr 2.89

---

AgIr3 | PBE | relaxed

Values from the calculation:
The value obtained for the formation energy is 681 meV per atom. Its density of states at the Fermi level is 2.071 states/eV per atom.

Cell: 8.8650 8.8650 2.7377 Å, 90.00 90.00 120.00°
With the nearest neighbours (Å) after each atom.
Space group R-3m (No. 166, hexagonal axes)
Unique sites:
1 Ag 0.0000 0.0000 0.0000 (multiplicity 3)  6 Ir 2.72, 2 Ag 2.74
2 Ir 0.0000 0.5000 0.0000 (multiplicity 9)  6 Ir 2.72-2.74, 2 Ag 2.72

---

SnH3Br | PBE | relaxed

Values from the calculation:
The calculation puts the polymorph energy (0 for the lowest one) at 0.0 meV/atom. Its density of states at the Fermi level is 0.540 states/eV per atom.

Cell: 4.0009 4.0009 4.0009 Å, 90.00 90.00 90.00°
With the nearest neighbours (Å) after each atom.
Space group Pm-3m (No. 221)
Unique sites:
1 Sn 0.0000 0.0000 0.0000 (multiplicity 1)  6 H 2.00
2 H 0.0000 0.0000 0.5000 (multiplicity 3)  2 Sn 2.00
3 Br 0.5000 0.5000 0.5000 (multiplicity 1)  12 H 2.83

---

SmZn2GaRu2 | PBE | relaxed

Values from the calculation:
The value obtained for the formation energy is 13 meV per atom. Its density of states at the Fermi level is 0.628 states/eV per atom.

Cell: 4.6056 4.6056 5.5446 Å, 90.00 90.00 90.00°
With the nearest neighbours (Å) after each atom.
Space group P4/mmm (No. 123)
Unique sites:
1 Sm 0.0000 0.0000 0.0000 (multiplicity 1)  2 Ga 2.77
2 Zn 0.5000 0.5000 0.2510 (multiplicity 2)  4 Ru 2.68, 2 Zn 2.76-2.78
3 Ga 0.0000 0.0000 0.5000 (multiplicity 1)  4 Ru 2.30
4 Ru 0.0000 0.5000 0.5000 (multiplicity 2)  2 Ga 2.30

---

CrPdN2 | PBE | relaxed

Values from the calculation:
The calculation puts the uncorrected formation energy at 0.89 eV/atom. The calculation puts the polymorph energy (0 for the lowest one) at 881.1 meV/atom. Its density of states at the Fermi level is 0.847 states/eV per atom.

Cell: 3.0063 3.0063 17.9776 Å, 90.00 90.00 120.00°
With the nearest neighbours (Å) after each atom.
Space group R-3m (No. 166, hexagonal axes)
Unique sites:
1 Cr 0.0000 0.0000 0.0000 (multiplicity 3)  2 N 1.79
2 Pd 0.0000 0.0000 0.5000 (multiplicity 3)  6 N 2.12
3 N 0.0000 0.0000 0.0994 (multiplicity 6)  1 Cr 1.79

---

RbSr3Mo | PBE | relaxed

Values from the calculation:
The value obtained for the formation energy is 721 meV per atom. The calculation puts the polymorph energy (0 for the lowest one) at 0.0 meV/atom. Its density of states at the Fermi level is 0.738 states/eV per atom.

Cell: 6.2042 6.2042 6.2042 Å, 90.00 90.00 90.00°
With the nearest neighbours (Å) after each atom.
Space group Pm-3m (No. 221)
Unique sites:
1 Rb 0.0000 0.0000 0.0000 (multiplicity 1)  12 Sr 4.39
2 Sr 0.0000 0.5000 0.5000 (multiplicity 3)  2 Mo 3.10
3 Mo 0.5000 0.5000 0.5000 (multiplicity 1)  6 Sr 3.10

---

K2Mg3Cd12Sn | PBE | relaxed

Values from the calculation:
The value obtained for the formation energy is 28 meV per atom. Its density of states at the Fermi level is 0.477 states/eV per atom.

Cell: 7.4938 7.4938 32.4132 Å, 90.00 90.00 120.00°
With the nearest neighbours (Å) after each atom.
Space group R-3m (No. 166, hexagonal axes)
Unique sites:
1 K 0.0000 0.0000 0.1503 (multiplicity 6)  6 Cd 3.72-3.81
2 Mg 0.0000 0.5000 0.0000 (multiplicity 9)  6 Cd 2.89-3.04
3 Cd 0.0463 0.5232 0.0933 (multiplicity 18)  4 Cd 2.95-3.23, 1 Sn 3.02, 1 Mg 3.04
4 Cd 0.0737 0.5368 0.6188 (multiplicity 18)  2 Mg 2.89, 4 Cd 2.92-2.95
5 Sn 0.0000 0.0000 0.5000 (multiplicity 3)  6 Cd 3.02

---

TaTl2Os | PBE | relaxed

Values from the calculation:
The value obtained for the formation energy is 1046 meV per atom. The calculation puts the polymorph energy (0 for the lowest one) at 746.8 meV/atom. Its density of states at the Fermi level is 1.524 states/eV per atom.

Cell: 6.7483 6.7483 6.7483 Å, 90.00 90.00 90.00°
With the nearest neighbours (Å) after each atom.
Space group Fm-3m (No. 225)
Unique sites:
1 Ta 0.0000 0.0000 0.0000 (multiplicity 4)  8 Tl 2.92
2 Tl 0.2500 0.2500 0.2500 (multiplicity 8)  4 Ta 2.92, 4 Os 2.92
3 Os 0.0000 0.0000 0.5000 (multiplicity 4)  8 Tl 2.92

---

ZrCuP2Cl | PBE | relaxed

Values from the calculation:
The calculation puts the uncorrected formation energy at 0.24 eV/atom. The calculation puts the polymorph energy (0 for the lowest one) at 0.0 meV/atom. Its density of states at the Fermi level is 0.444 states/eV per atom.

Cell: 4.4914 4.4914 4.5789 Å, 90.00 90.00 90.00°
With the nearest neighbours (Å) after each atom.
Space group P4/mmm (No. 123)
Unique sites:
1 Zr 0.0000 0.0000 0.0000 (multiplicity 1)  4 Cl 3.18, 8 P 3.21
2 Cu 0.5000 0.5000 0.5000 (multiplicity 1)  4 P 2.25, 2 Cl 2.29
3 P 0.0000 0.5000 0.5000 (multiplicity 2)  2 Cu 2.25
4 Cl 0.5000 0.5000 0.0000 (multiplicity 1)  2 Cu 2.29

---

Li5TlAg3 | PBE | relaxed

Values from the calculation:
The value obtained for the formation energy is -13 meV per atom. Its density of states at the Fermi level is 0.303 states/eV per atom.

Cell: 15.3406 6.6066 7.8552 Å, 90.00 116.07 90.00°
With the nearest neighbours (Å) after each atom.
Space group C2/m (No. 12)
Unique sites:
1 Li 0.0000 0.1632 0.0000 (multiplicity 4)  1 Li 2.16, 1 Ag 2.23
2 Li 0.1564 0.5000 0.9683 (multiplicity 4)  2 Ag 2.52-2.57
3 Li 0.1634 0.2279 0.6743 (multiplicity 8)  4 Ag 2.89-3.11, 4 Li 2.97-3.15, 1 Tl 3.01
4 Li 0.1763 0.0000 0.3341 (multiplicity 4)  2 Ag 2.60-2.62, 1 Tl 2.68
5 Tl 0.1518 0.5000 0.3581 (multiplicity 4)  1 Li 2.68, 2 Ag 2.75-2.99
6 Ag 0.0000 0.5000 0.0000 (multiplicity 2)  2 Li 2.23
7 Ag 0.0000 0.5000 0.5000 (multiplicity 2)  4 Li 2.89, 2 Tl 2.99
8 Ag 0.0047 0.0000 0.3312 (multiplicity 4)  3 Li 2.62-2.79, 2 Ag 2.72-2.78
9 Ag 0.1693 0.0000 0.9972 (multiplicity 4)  4 Li 2.57-2.82, 1 Ag 2.78

---

YZrAs2Rh5 | PBE | relaxed

Values from the calculation:
The value obtained for the formation energy is -619 meV per atom. Its density of states at the Fermi level is 0.748 states/eV per atom.

Cell: 4.1820 4.1820 8.7625 Å, 90.00 90.00 90.00°
With the nearest neighbours (Å) after each atom.
Space group P4/mmm (No. 123)
Unique sites:
1 Y 0.0000 0.0000 0.0000 (multiplicity 1)  12 Rh 2.95-2.96
2 Zr 0.0000 0.0000 0.5000 (multiplicity 1)  8 Rh 3.11, 8 As 3.20
3 As 0.5000 0.5000 0.3616 (multiplicity 2)  4 Rh 2.36, 1 As 2.43
4 Rh 0.0000 0.5000 0.2373 (multiplicity 4)  2 As 2.36
5 Rh 0.5000 0.5000 0.0000 (multiplicity 1)  8 Rh 2.95, 4 Y 2.96, 2 As 3.17

---

ErPuBi2 | PBE | relaxed

Values from the calculation:
The value obtained for the formation energy is -424 meV per atom. The calculation puts the polymorph energy (0 for the lowest one) at 145.7 meV/atom. Its density of states at the Fermi level is 3.358 states/eV per atom.

Cell: 7.7480 7.7480 7.7480 Å, 90.00 90.00 90.00°
With the nearest neighbours (Å) after each atom.
Space group Fm-3m (No. 225)
Unique sites:
1 Er 0.0000 0.0000 0.0000 (multiplicity 4)  8 Bi 3.35
2 Pu 0.0000 0.0000 0.5000 (multiplicity 4)  8 Bi 3.35
3 Bi 0.2500 0.2500 0.2500 (multiplicity 8)  4 Er 3.35, 4 Pu 3.35

---

| no. | total moment (μB per cell) |
| --- | --- |
| 1 | 0.00 |
| 2 | 8.00 |
| 3 | 1.94 |
| 4 | 0.00 |
| 5 | 0.00 |
| 6 | 0.00 |
| 7 | 1.38 |
| 8 | 0.00 |
| 9 | 2.16 |
| 10 | 0.00 |
| 11 | 0.00 |
| 12 | 0.00 |
| 13 | 23.89 |